Record 1
ScZnPbSe3 | PBE | optimized geometry

Results
* symmetry: Cmcm
* theoretical density: 6.445 g cm⁻³
* total energy: -4.49 eV/atom

abc: 7.267 7.267 10.330
angles: 90.00 90.00 148.42
Fractional positions:
Sc  0.000  0.000  0.000
Sc  0.000  0.000  0.500
Zn  0.458  0.542  0.750
Zn  0.542  0.458  0.250
Pb  0.239  0.761  0.250
Pb  0.761  0.239  0.750
Se  0.073  0.927  0.750
Se  0.366  0.634  0.542
Se  0.366  0.634  0.958
Se  0.634  0.366  0.042
Se  0.634  0.366  0.458
Se  0.927  0.073  0.250

Record 2
CsSmZnTe2Se | PBE | optimized geometry

Results
* symmetry: Cmcm
* theoretical density: 5.308 g cm⁻³
* total energy: -3.97 eV/atom

abc: 8.740 8.740 11.448
angles: 90.00 90.00 150.75
Fractional positions:
Cs  0.234  0.766  0.750
Cs  0.766  0.234  0.250
Sm  0.500  0.500  0.000
Sm  0.500  0.500  0.500
Zn  0.038  0.962  0.250
Zn  0.962  0.038  0.750
Te  0.126  0.874  0.058
Te  0.126  0.874  0.442
Te  0.874  0.126  0.558
Te  0.874  0.126  0.942
Se  0.452  0.548  0.250
Se  0.548  0.452  0.750